# AcSn2Ir

A relaxed structure of AcSn2Ir (PBE, Alexandria).

Relative energy among the computed polymorphs: 0.0334 eV/atom
Size of the total moment: 0.00 μB per atom
Calculated volume: 429.4 Å³/cell
Space group: Pnma
Calculated formation energy: -621 meV per atom
Raw total energy: -93.83 eV for the cell shown

a b c (Å): 7.7711 4.6837 11.7986
angles (deg): 90.00 90.00 90.00
Element x y z (fractional)
1 Ac 0.1910 0.2500 0.1374
2 Ac 0.3090 0.7500 0.6374
3 Ac 0.6910 0.2500 0.3626
4 Ac 0.8090 0.7500 0.8626
5 Sn 0.1376 0.2500 0.4383
6 Sn 0.1420 0.2500 0.8436
7 Sn 0.3580 0.7500 0.3436
8 Sn 0.3624 0.7500 0.9383
9 Sn 0.6376 0.2500 0.0617
10 Sn 0.6420 0.2500 0.6564
11 Sn 0.8580 0.7500 0.1564
12 Sn 0.8624 0.7500 0.5617
13 Ir 0.0056 0.7500 0.3560
14 Ir 0.4944 0.2500 0.8560
15 Ir 0.5056 0.7500 0.1440
16 Ir 0.9944 0.2500 0.6440

***

# LaCr4Cd

A relaxed structure of LaCr4Cd (PBE, Alexandria).

Size of the total moment: 0.02 μB per atom
Calculated volume: 98.7 Å³/cell
Space group: F-43m
Calculated formation energy: 595 meV per atom
Raw total energy: -40.76 eV for the cell shown

a b c (Å): 5.1877 5.1877 5.1877
angles (deg): 60.00 60.00 60.00
Element x y z (fractional)
1 La 0.0000 0.0000 0.0000
2 Cr 0.1176 0.6275 0.6275
3 Cr 0.6275 0.1176 0.6275
4 Cr 0.6275 0.6275 0.1176
5 Cr 0.6275 0.6275 0.6275
6 Cd 0.2500 0.2500 0.2500

***

# KSr2P

A relaxed structure of KSr2P (PBE, Alexandria).

Size of the total moment: 0.00 μB per atom
Calculated volume: 195.8 Å³/cell
Space group: C2/m
Calculated formation energy: -630 meV per atom
Raw total energy: -12.39 eV for the cell shown

a b c (Å): 4.4834 4.4834 11.2445
angles (deg): 90.25 90.25 60.01
Element x y z (fractional)
1 K 0.0000 0.0000 0.0000
2 Sr 0.3323 0.3323 0.3612
3 Sr 0.6677 0.6677 0.6388
4 P 0.0000 0.0000 0.5000

***

# K2RbPb

A relaxed structure of K2RbPb (PBE, Alexandria).

Relative energy among the computed polymorphs: 0.2758 eV/atom
Size of the total moment: 0.00 μB per atom
Calculated volume: 227.6 Å³/cell
Space group: R-3m
Calculated formation energy: 230 meV per atom
Raw total energy: -5.95 eV for the cell shown

a b c (Å): 15.5864 15.5864 15.5864
angles (deg): 15.23 15.23 15.23
Element x y z (fractional)
1 K 0.0758 0.0758 0.0758
2 K 0.9242 0.9242 0.9242
3 Rb 0.5000 0.5000 0.5000
4 Pb 0.0000 0.0000 0.0000

***

# NaNb2Ni

A relaxed structure of NaNb2Ni (PBE, Alexandria).

Relative energy among the computed polymorphs: 0.1527 eV/atom
Size of the total moment: 0.00 μB per atom
Calculated volume: 146.3 Å³/cell
Space group: I-42d
Calculated formation energy: 908 meV per atom
Raw total energy: -47.21 eV for the cell shown

a b c (Å): 10.3615 10.3615 10.3615
angles (deg): 158.73 158.73 30.25
Element x y z (fractional)
1 Na 0.0000 0.0000 0.0000
2 Na 0.7500 0.2500 0.5000
3 Nb 0.1427 0.6250 0.0177
4 Nb 0.3750 0.3927 0.5177
5 Nb 0.6073 0.1250 0.9823
6 Nb 0.8750 0.8573 0.4823
7 Ni 0.2500 0.7500 0.5000
8 Ni 0.5000 0.5000 0.0000

***

# SbTe2P

A relaxed structure of SbTe2P (PBE, Alexandria).

Relative energy among the computed polymorphs: 0.0234 eV/atom
ΔE_f (raw): 0.182 eV per atom
Size of the total moment: 0.00 μB per atom
Calculated volume: 108.8 Å³/cell
Space group: R-3m
Raw total energy: -15.09 eV for the cell shown

a b c (Å): 7.3678 7.3678 7.3678
angles (deg): 33.55 33.55 33.55
Element x y z (fractional)
1 Sb 0.0000 0.0000 0.0000
2 Te 0.2418 0.2418 0.2418
3 Te 0.7582 0.7582 0.7582
4 P 0.5000 0.5000 0.5000

***

# NiAsBr2Cl

A relaxed structure of NiAsBr2Cl (PBE, Alexandria).

Relative energy among the computed polymorphs: 0.0000 eV/atom
ΔE_f (raw): 0.230 eV per atom
Size of the total moment: 0.00 μB per atom
Calculated volume: 112.2 Å³/cell
Space group: P4/mmm
Raw total energy: -14.47 eV for the cell shown

a b c (Å): 4.8535 4.8535 4.7609
angles (deg): 90.00 90.00 90.00
Element x y z (fractional)
1 Ni 0.0000 0.0000 0.0000
2 As 0.0000 0.0000 0.5000
3 Br 0.0000 0.5000 0.0000
4 Br 0.5000 0.0000 0.0000
5 Cl 0.5000 0.5000 0.5000

***

# InBiCl6

A relaxed structure of InBiCl6 (PBE, Alexandria).

Relative energy among the computed polymorphs: 0.0000 eV/atom
ΔE_f (raw): -0.993 eV per atom
Size of the total moment: 0.00 μB per atom
Calculated volume: 257.4 Å³/cell
Space group: C2/m
Raw total energy: -25.64 eV for the cell shown

a b c (Å): 7.0423 7.0423 6.5685
angles (deg): 97.78 97.78 124.34
Element x y z (fractional)
1 In 0.0000 0.0000 0.0000
2 Bi 0.5000 0.5000 0.5000
3 Cl 0.0878 0.3750 0.2334
4 Cl 0.2465 0.2465 0.7563
5 Cl 0.3750 0.0878 0.2334
6 Cl 0.6250 0.9122 0.7666
7 Cl 0.7535 0.7535 0.2437
8 Cl 0.9122 0.6250 0.7666

***

# Mg4MoRu

A relaxed structure of Mg4MoRu (PBE, Alexandria).

Size of the total moment: 0.35 μB per atom
Calculated volume: 106.6 Å³/cell
Space group: F-43m
Calculated formation energy: 620 meV per atom
Raw total energy: -22.77 eV for the cell shown

a b c (Å): 5.3228 5.3228 5.3228
angles (deg): 60.00 60.00 60.00
Element x y z (fractional)
1 Mg 0.1251 0.1251 0.1251
2 Mg 0.1251 0.1251 0.6247
3 Mg 0.1251 0.6247 0.1251
4 Mg 0.6247 0.1251 0.1251
5 Mo 0.7500 0.7500 0.7500
6 Ru 0.5000 0.5000 0.5000

***

# La6TbTm12

A relaxed structure of La6TbTm12 (PBE, Alexandria).

Size of the total moment: 0.00 μB per atom
Calculated volume: 642.1 Å³/cell
Space group: R-3m
Calculated formation energy: 227 meV per atom
Raw total energy: -83.54 eV for the cell shown

a b c (Å): 8.7419 8.7419 8.7419
angles (deg): 98.74 98.74 98.74
Element x y z (fractional)
1 La 0.1534 0.5971 0.5971
2 La 0.4029 0.4029 0.8466
3 La 0.4029 0.8466 0.4029
4 La 0.5971 0.1534 0.5971
5 La 0.5971 0.5971 0.1534
6 La 0.8466 0.4029 0.4029
7 Tb 0.5000 0.5000 0.5000
8 Tm 0.0000 0.2533 0.7467
9 Tm 0.0000 0.7467 0.2533
10 Tm 0.1458 0.1458 0.4206
11 Tm 0.1458 0.4206 0.1458
12 Tm 0.2533 0.0000 0.7467
13 Tm 0.2533 0.7467 0.0000
14 Tm 0.4206 0.1458 0.1458
15 Tm 0.5794 0.8542 0.8542
16 Tm 0.7467 0.0000 0.2533
17 Tm 0.7467 0.2533 0.0000
18 Tm 0.8542 0.5794 0.8542
19 Tm 0.8542 0.8542 0.5794

***

# CsZnW3

A relaxed structure of CsZnW3 (PBE, Alexandria).

Relative energy among the computed polymorphs: 1.2191 eV/atom
Size of the total moment: 0.00 μB per atom
Calculated volume: 119.4 Å³/cell
Space group: Pm-3m
Calculated formation energy: 3974 meV per atom
Raw total energy: -21.12 eV for the cell shown

a b c (Å): 4.9247 4.9247 4.9247
angles (deg): 90.00 90.00 90.00
Element x y z (fractional)
1 Cs 0.0000 0.0000 0.0000
2 Zn 0.5000 0.5000 0.5000
3 W 0.0000 0.0000 0.5000
4 W 0.0000 0.5000 0.0000
5 W 0.5000 0.0000 0.0000

***

# Nb2CuAu2

A relaxed structure of Nb2CuAu2 (PBE, Alexandria).

Size of the total moment: 0.00 μB per atom
Calculated volume: 96.2 Å³/cell
Space group: I4/mmm
Calculated formation energy: 383 meV per atom
Raw total energy: -28.87 eV for the cell shown

a b c (Å): 7.4366 7.4366 7.4366
angles (deg): 151.04 151.04 41.42
Element x y z (fractional)
1 Nb 0.2500 0.7500 0.5000
2 Nb 0.7500 0.2500 0.5000
3 Cu 0.0000 0.0000 0.0000
4 Au 0.4051 0.4051 0.0000
5 Au 0.5949 0.5949 0.0000

***

# Co2PbSe2

A relaxed structure of Co2PbSe2 (PBE, Alexandria).

Relative energy among the computed polymorphs: 0.0000 eV/atom
ΔE_f (raw): -0.137 eV per atom
Size of the total moment: 0.00 μB per atom
Calculated volume: 102.3 Å³/cell
Space group: I4/mmm
Raw total energy: -25.57 eV for the cell shown

a b c (Å): 8.4058 8.4058 8.4058
angles (deg): 155.46 155.46 34.98
Element x y z (fractional)
1 Co 0.2500 0.7500 0.5000
2 Co 0.7500 0.2500 0.5000
3 Pb 0.0000 0.0000 0.0000
4 Se 0.3430 0.3430 0.0000
5 Se 0.6570 0.6570 0.0000

***

# ReNiN2

A relaxed structure of ReNiN2 (PBE, Alexandria).

Relative energy among the computed polymorphs: 0.0000 eV/atom
ΔE_f (raw): 0.178 eV per atom
Size of the total moment: 0.00 μB per atom
Calculated volume: 91.2 Å³/cell
Space group: I-42d
Raw total energy: -68.34 eV for the cell shown

a b c (Å): 5.5434 5.5434 5.5434
angles (deg): 132.38 132.38 69.63
Element x y z (fractional)
1 Re 0.0000 0.0000 0.0000
2 Re 0.7500 0.2500 0.5000
3 Ni 0.2500 0.7500 0.5000
4 Ni 0.5000 0.5000 0.0000
5 N 0.1185 0.6250 0.9935
6 N 0.3750 0.3685 0.4935
7 N 0.6315 0.1250 0.0065
8 N 0.8750 0.8815 0.5065

***

# Cd3AgB

A relaxed structure of Cd3AgB (PBE, Alexandria).

Relative energy among the computed polymorphs: 0.0000 eV/atom
Size of the total moment: 0.00 μB per atom
Calculated volume: 98.2 Å³/cell
Space group: Pm-3m
Calculated formation energy: 458 meV per atom
Raw total energy: -9.98 eV for the cell shown

a b c (Å): 4.6141 4.6141 4.6141
angles (deg): 90.00 90.00 90.00
Element x y z (fractional)
1 Cd 0.0000 0.0000 0.5000
2 Cd 0.0000 0.5000 0.0000
3 Cd 0.5000 0.0000 0.0000
4 Ag 0.5000 0.5000 0.5000
5 B 0.0000 0.0000 0.0000

***

# AcBi2Rh2Pb

A relaxed structure of AcBi2Rh2Pb (PBE, Alexandria).

Size of the total moment: 0.00 μB per atom
Calculated volume: 170.5 Å³/cell
Space group: P4/mmm
Calculated formation energy: -45 meV per atom
Raw total energy: -30.55 eV for the cell shown

a b c (Å): 5.0725 5.0725 6.6282
angles (deg): 90.00 90.00 90.00
Element x y z (fractional)
1 Ac 0.0000 0.0000 0.0000
2 Bi 0.5000 0.5000 0.2525
3 Bi 0.5000 0.5000 0.7475
4 Rh 0.0000 0.5000 0.5000
5 Rh 0.5000 0.0000 0.5000
6 Pb 0.0000 0.0000 0.5000

***

# CdTeMo2

A relaxed structure of CdTeMo2 (PBE, Alexandria).

Relative energy among the computed polymorphs: 0.3823 eV/atom
ΔE_f (raw): 0.626 eV per atom
Size of the total moment: 0.00 μB per atom
Calculated volume: 72.4 Å³/cell
Space group: P4/mmm
Raw total energy: -23.21 eV for the cell shown

a b c (Å): 4.6573 4.6573 3.3364
angles (deg): 90.00 90.00 90.00
Element x y z (fractional)
1 Cd 0.0000 0.0000 0.0000
2 Te 0.5000 0.5000 0.0000
3 Mo 0.0000 0.5000 0.5000
4 Mo 0.5000 0.0000 0.5000

***

# AlSnBi2H

A relaxed structure of AlSnBi2H (PBE, Alexandria).

Size of the total moment: 0.00 μB per atom
Calculated volume: 119.4 Å³/cell
Space group: P4/mmm
Raw total energy: -18.29 eV for the cell shown

a b c (Å): 5.9183 5.9183 3.4087
angles (deg): 90.00 90.00 90.00
Element x y z (fractional)
1 Al 0.0000 0.0000 0.0000
2 Sn 0.5000 0.5000 0.5000
3 Bi 0.0000 0.5000 0.0000
4 Bi 0.5000 0.0000 0.0000
5 H 0.0000 0.0000 0.5000

***

# ErTm2Sc8

A relaxed structure of ErTm2Sc8 (PBE, Alexandria).

Size of the total moment: 0.00 μB per atom
Calculated volume: 294.4 Å³/cell
Space group: Immm
Calculated formation energy: 133 meV per atom
Raw total energy: -62.69 eV for the cell shown

a b c (Å): 9.0877 9.0877 9.0877
angles (deg): 144.94 136.50 57.05
Element x y z (fractional)
1 Er 0.0000 0.0000 0.0000
2 Tm 0.3097 0.8097 0.5000
3 Tm 0.6903 0.1903 0.5000
4 Sc 0.0972 0.3717 0.7254
5 Sc 0.2024 0.2024 0.0000
6 Sc 0.3537 0.6283 0.7254
7 Sc 0.5000 0.2415 0.7415
8 Sc 0.5000 0.7585 0.2585
9 Sc 0.6463 0.3717 0.2746
10 Sc 0.7976 0.7976 0.0000
11 Sc 0.9028 0.6283 0.2746

***

# La4Pm3Tm4

A relaxed structure of La4Pm3Tm4 (PBE, Alexandria).

Relative energy among the computed polymorphs: 0.0000 eV/atom
Size of the total moment: 0.00 μB per atom
Calculated volume: 370.7 Å³/cell
Space group: P-1
Calculated formation energy: 26 meV per atom
Raw total energy: -51.56 eV for the cell shown

a b c (Å): 3.6483 5.1048 20.1464
angles (deg): 97.26 95.17 90.03
Element x y z (fractional)
1 La 0.0464 0.0460 0.0925
2 La 0.3170 0.3171 0.6334
3 La 0.6830 0.6829 0.3666
4 La 0.9536 0.9540 0.9075
5 Pm 0.1366 0.1364 0.2736
6 Pm 0.5000 0.5000 0.0000
7 Pm 0.8634 0.8636 0.7264
8 Tm 0.2284 0.2284 0.4571
9 Tm 0.4075 0.4078 0.8149
10 Tm 0.5925 0.5922 0.1851
11 Tm 0.7716 0.7716 0.5429